# 1
NbZnCu2: relaxed, PBE.

Structure (POSCAR):
```
NbZnCu2
1.0
2.755 0.000 0.000
1.378 2.386 0.000
1.378 0.795 8.826
Nb Zn Cu
1 1 2
direct
0.500 0.500 0.500
0.667 0.667 0.000
0.079 0.079 0.762
0.254 0.254 0.238
```

Calculated values
Formation energy   36 kJ/mol of formula units
Crystal system   trigonal


# 2
GeTe2SN: relaxed, PBE.

Structure (POSCAR):
```
GeTe2SN
1.0
5.997 0.000 0.000
0.000 5.997 0.000
0.000 0.000 3.232
Ge Te S N
1 2 1 1
direct
0.500 0.500 0.500
0.000 0.500 0.000
0.500 0.000 0.000
0.000 0.000 0.000
0.000 0.000 0.500
```

Calculated values
Formation energy without anion corrections   0.78 eV per atom
Energy above the lowest structure with this stoichiometry   0 meV/atom
Crystal system   tetragonal


# 3
TaFe2Ag: relaxed, PBE.

Structure (POSCAR):
```
TaFe2Ag
1.0
2.891 0.000 0.000
0.000 2.891 0.000
0.000 0.000 7.084
Ag Fe Ta
1 2 1
direct
0.500 0.500 0.775
0.000 0.000 0.037
0.500 0.500 0.223
0.000 0.000 0.464
```

Calculated values
Energy above the lowest structure with this stoichiometry   0 meV/atom
Formation energy   76 kJ/mol of formula units
Crystal system   tetragonal


# 4
TlAsC2: relaxed, PBE.

Structure (POSCAR):
```
TlAsC2
1.0
-4.664 0.722 1.741
-1.813 -0.443 -4.671
-3.719 -4.470 -0.841
C Tl As
4 2 2
direct
0.565 0.125 0.250
0.185 0.625 0.250
0.375 0.435 0.750
0.875 0.815 0.750
0.000 0.000 0.000
0.750 0.250 0.500
0.500 0.500 0.000
0.250 0.750 0.500
```

Calculated values
Energy above the lowest structure with this stoichiometry   0 meV/atom
Formation energy   462 kJ/mol of formula units
Crystal system   tetragonal


# 5
Rb2YTiF6: relaxed, PBE.

Structure (POSCAR):
```
Rb2YTiF6
1.0
6.338 0.000 0.000
0.000 6.338 0.000
3.169 3.169 4.482
Y F Rb Ti
1 6 2 1
direct
0.000 0.000 0.000
0.248 0.248 0.505
0.752 0.752 0.495
0.248 0.248 0.000
0.752 0.752 0.000
0.752 0.248 0.000
0.248 0.752 0.000
0.750 0.250 0.500
0.250 0.750 0.500
0.500 0.500 0.000
```

Calculated values
Formation energy without anion corrections   -2.94 eV per atom
Crystal system   cubic


# 6
PaZnAu6: relaxed, PBE.

Structure (POSCAR):
```
PaZnAu6
1.0
-3.309 -3.989 -1.909
-1.224 -4.337 3.194
-7.249 0.747 3.012
Pa Zn Au
1 1 6
direct
0.500 0.500 0.500
0.000 0.000 0.000
0.073 0.073 0.287
0.073 0.567 0.287
0.433 0.927 0.713
0.927 0.433 0.713
0.927 0.927 0.713
0.567 0.073 0.287
```

Calculated values
Formation energy   -17 kJ/mol of formula units
Crystal system   trigonal